Entry 1:
Below is crystalline PuSnPt5 at its relaxed geometry, with properties calculated at the PBE-GGA level.

## Properties
energy: -7.451 eV per atom
space-group type: Pnma (62)
formation energy: -517 meV/atom
density: 17.0 Mg/m³

Cell: 5.510 8.762 10.832 Å, 90.00 90.00 90.00°
Site moments in Bohr magnetons follow the coordinates.
Fractional positions:
Pu  0.250  0.249  0.951  5.06
Pu  0.750  0.251  0.451  5.06
Pu  0.250  0.749  0.549  5.06
Pu  0.750  0.751  0.049  5.06
Sn  0.250  0.851  0.848  -0.01
Sn  0.750  0.649  0.348  -0.01
Sn  0.250  0.351  0.652  -0.01
Sn  0.750  0.149  0.152  -0.01
Pt  0.250  0.601  0.021  -0.10
Pt  0.750  0.899  0.521  -0.10
Pt  0.250  0.101  0.479  -0.10
Pt  0.750  0.399  0.979  -0.10
Pt  0.750  0.319  0.727  -0.03
Pt  0.250  0.181  0.227  -0.03
Pt  0.750  0.819  0.773  -0.03
Pt  0.250  0.681  0.273  -0.03
Pt  0.250  0.926  0.081  -0.07
Pt  0.750  0.574  0.581  -0.07
Pt  0.250  0.426  0.419  -0.07
Pt  0.750  0.074  0.919  -0.07
Pt  0.993  0.436  0.197  -0.02
Pt  0.007  0.064  0.697  -0.02
Pt  0.507  0.936  0.303  -0.02
Pt  0.493  0.564  0.803  -0.02
Pt  0.007  0.564  0.803  -0.02
Pt  0.993  0.936  0.303  -0.02
Pt  0.493  0.064  0.697  -0.02
Pt  0.507  0.436  0.197  -0.02

Entry 2:
Below is crystalline TmLuNiAg at its relaxed geometry, with properties calculated at the PBE-GGA level.

## Properties
energy: -4.763 eV per atom
space-group type: F-43m (216)
formation energy: -357 meV/atom
density: 10.3 Mg/m³

Cell: 4.882 4.882 4.882 Å, 60.00 60.00 60.00°
Fractional positions:
Ni  0.750  0.750  0.750
Lu  0.000  0.000  0.000
Tm  0.500  0.500  0.500
Ag  0.250  0.250  0.250

Entry 3:
Below is crystalline Dy4YCu at its relaxed geometry, with properties calculated at the PBE-GGA level.

## Properties
energy: -4.883 eV per atom
space-group type: P4/mmm (123)
formation energy: -55 meV/atom
density: 7.9 Mg/m³

Cell: 3.507 3.507 13.747 Å, 90.00 90.00 90.00°
Fractional positions:
Dy  0.500  0.500  0.185
Dy  0.000  0.000  0.624
Dy  0.000  0.000  0.376
Dy  0.500  0.500  0.815
Y  0.000  0.000  0.000
Cu  0.500  0.500  0.500